First-principles (PBE) data for a relaxed structure of LiMoBr2, as listed in the Alexandria database.

a = 3.328 Å, b = 3.328 Å, c = 7.637 Å
α = 90.00°, β = 90.00°, γ = 90.00°
Space group P4mm (No. 99)
Unique sites:
Li 0.000 0.000 0.000 x1
Mo 0.500 0.500 0.246 x1
Br 0.000 0.000 0.419 x1
Br 0.500 0.500 0.894 x1

Summary:
The energy above the lowest structure with this stoichiometry comes out at 0.0 meV per atom. The formation energy without anion corrections comes out at -0.112 eV/atom. The total energy comes out at -4.1349 eV per atom.